# 1
First-principles (PBE) data for a relaxed KBa3Na4 crystal, as listed in Alexandria via LeMat-Bulk.

Cell: 4.651 4.651 19.349 Å, 90.00 90.00 90.00°
Element x y z (fractional)
Na 0.000 0.000 0.130
Na 0.000 0.000 0.378
Na 0.000 0.000 0.870
Na 0.000 0.000 0.622
Ba 0.500 0.500 0.256
Ba 0.500 0.500 0.500
Ba 0.500 0.500 0.744
K 0.500 0.500 0.000

Computed properties:
E_form (kJ/mol of formula units): 11
SG: P4/mmm

***

# 2
First-principles (PBE) data for a relaxed HgGeSe crystal, as listed in Alexandria via LeMat-Bulk.

Cell: 3.791 9.732 5.755 Å, 53.76 90.00 90.01°
Element x y z (fractional)
Hg 0.449 0.147 0.587
Hg 0.950 0.029 0.206
Ge 0.450 0.694 0.546
Ge 0.950 0.481 0.258
Se 0.950 0.471 0.806
Se 0.450 0.705 0.072

Computed properties:
Formation energy from raw total energies (eV per atom): -0.139
Excess energy over the best structure of this formula in the dataset (eV/f.u.): 0.01
SG: Pmn2_1

***

| no. | Fermi-level density of states (states/eV/atom) |
| --- | --- |
| 1 | 1.069 |
| 2 | 0.007 |